[1]
Compound: FeAsW2
Source: Alexandria
Functional: PBE
Structure: relaxed

The structure belongs to space group P2/m (No. 10); the cell edges are 2.775, 3.998 and 5.408 Å and the angles 90.00°, 103.81° and 90.00°. Symmetry generates all atoms from Fe at (0.000, 0.000, 0.000), As at (0.000, 0.000, 0.500) and W at (0.478, 0.500, 0.759).

The value obtained for the calculated volume is 14.57 A^3/atom. As for the energy of formation from the pure elements: 337 meV/atom. The density of states at the Fermi level comes out at 0.72 states/eV per atom.

---

[2]
Compound: Fe2AsW2
Source: Alexandria
Functional: PBE
Structure: relaxed

The structure belongs to space group P4/mbm (No. 127); the cell edges are 7.201, 7.201 and 2.812 Å and the angles 90.00°, 90.00° and 90.00°. Symmetry generates all atoms from Fe at (0.132, 0.368, 0.000), As at (0.000, 0.000, 0.500) and W at (0.157, 0.657, 0.500).

The value obtained for the calculated volume is 14.58 A^3/atom. The calculation puts the energy above the most stable polymorph in this dataset at 0.12 eV/f.u. As for the energy of formation from the pure elements: 433 meV/atom. The density of states at the Fermi level comes out at 0.75 states/eV per atom.

---

[3]
Compound: FeAsW2
Source: Alexandria
Functional: PBE
Structure: relaxed

The structure belongs to space group P4/mmm (No. 123); the cell edges are 2.899, 2.899 and 6.816 Å and the angles 90.00°, 90.00° and 90.00°. Symmetry generates all atoms from Fe at (0.000, 0.000, 0.000), As at (0.000, 0.000, 0.500) and W at (0.500, 0.500, 0.243).

The value obtained for the calculated volume is 14.32 A^3/atom. As for the energy of formation from the pure elements: 301 meV/atom. The density of states at the Fermi level comes out at 1.01 states/eV per atom.

---

[4]
Compound: Fe2As2W
Source: Alexandria
Functional: PBE
Structure: relaxed

The structure belongs to space group I4/mmm (No. 139); the cell edges are 3.822, 3.822 and 9.558 Å and the angles 90.00°, 90.00° and 90.00°. Symmetry generates all atoms from Fe at (0.000, 0.500, 0.250), As at (0.000, 0.000, 0.124) and W at (0.000, 0.000, 0.500).

The value obtained for the calculated volume is 13.96 A^3/atom. The calculation puts the energy above the most stable polymorph in this dataset at 1.46 eV/f.u. As for the energy of formation from the pure elements: 478 meV/atom. The density of states at the Fermi level comes out at 0.77 states/eV per atom.

---

What is the energy of formation from the pure elements in the first record?
337 meV/atom

---

Repeat the fourth record exactly.
Compound: Fe2As2W
Source: Alexandria
Functional: PBE
Structure: relaxed

The structure belongs to space group I4/mmm (No. 139); the cell edges are 3.822, 3.822 and 9.558 Å and the angles 90.00°, 90.00° and 90.00°. Symmetry generates all atoms from Fe at (0.000, 0.500, 0.250), As at (0.000, 0.000, 0.124) and W at (0.000, 0.000, 0.500).

The value obtained for the calculated volume is 13.96 A^3/atom. The calculation puts the energy above the most stable polymorph in this dataset at 1.46 eV/f.u. As for the energy of formation from the pure elements: 478 meV/atom. The density of states at the Fermi level comes out at 0.77 states/eV per atom.

---

The lowest energy of formation from the pure elements belongs to which entry?
number 3